Entry 1:
A plane-wave DFT calculation with PBE was carried out for Mg2In2Cu after structural relaxation.

Cell and atoms, written as POSCAR:
```
Mg2In2Cu
1.0
-1.821 -2.093 -4.936
-2.661 -4.711 2.980
-2.992 6.696 1.511
In Mg Cu
4 4 2
direct
0.171 0.845 0.342 In
0.829 0.155 0.658 In
0.329 0.503 0.658 In
0.671 0.497 0.342 In
0.589 0.922 0.177 Mg
0.411 0.078 0.823 Mg
0.089 0.256 0.177 Mg
0.911 0.744 0.823 Mg
0.750 0.500 0.000 Cu
0.250 0.500 0.000 Cu
```

The calculation puts the polymorph energy (0 for the lowest one) at 0.000 eV/atom. For the energy of formation from the pure elements, the calculation gives -0.03 eV/atom.

Entry 2:
A plane-wave DFT calculation with PBE was carried out for Sm4TlAg5 after structural relaxation.

Cell and atoms, written as POSCAR:
```
Sm4TlAg5
1.0
-3.308 1.345 1.156
-1.546 -3.386 -0.483
4.121 -4.272 16.762
Sm Ag Tl
4 5 1
direct
0.000 0.000 0.191 Sm
0.000 0.000 0.396 Sm
0.000 0.000 0.809 Sm
0.000 0.000 0.604 Sm
0.500 0.500 0.903 Ag
0.500 0.500 0.707 Ag
0.500 0.500 0.500 Ag
0.500 0.500 0.097 Ag
0.500 0.500 0.293 Ag
0.000 0.000 0.000 Tl
```

For the energy of formation from the pure elements, the calculation gives -0.22 eV/atom.